Record 1
Entry from Alexandria via LeMat-Bulk: a relaxed structure of Si2RuPt (PBE).

* magnetization: 0.00 μB/f.u.
* mass density: 10523 kg/m3
* total energy: -6.953 eV per atom
* Fermi-level density of states: 1.591 states/eV/f.u.

Cell and atoms, written as CIF:
```
data_Si2RuPt
_chemical_formula_sum 'Si2 Ru1 Pt1'
_symmetry_space_group_name_H-M 'P 1 2/m 1'
_symmetry_Int_Tables_number 10
_cell_length_a 4.172
_cell_length_b 2.958
_cell_length_c 4.905
_cell_angle_alpha 90.00
_cell_angle_beta 113.31
_cell_angle_gamma 90.00
loop_
_symmetry_equiv_pos_as_xyz
'x,y,z'
'-x,-y,-z'
'-x,y,-z'
'x,-y,z'
loop_
_atom_site_label
_atom_site_fract_x
_atom_site_fract_y
_atom_site_fract_z
_atom_site_occupancy
Si1 0.000 0.000 0.000 1
Si2 0.000 0.500 0.500 1
Ru1 0.500 0.000 0.500 1
Pt1 0.500 0.500 0.000 1
```

***

Record 2
Entry from Alexandria via LeMat-Bulk: a relaxed structure of Lu2InAu2 (PBE).

* magnetization: 0.00 μB/f.u.
* mass density: 12024 kg/m3
* energy above the most stable polymorph in this dataset: 0.2129 eV per atom
* Fermi-level density of states: 2.205 states/eV/f.u.

Cell and atoms, written as CIF:
```
data_Lu2InAu2
_chemical_formula_sum 'Lu4 In2 Au4'
_symmetry_space_group_name_H-M 'P 4/m b m'
_symmetry_Int_Tables_number 127
_symmetry_space_group_name_Hall '-P 4 2ab'
_cell_length_a 8.226
_cell_length_b 8.226
_cell_length_c 3.505
_cell_angle_alpha 90.00
_cell_angle_beta 90.00
_cell_angle_gamma 90.00
loop_
_atom_site_label
_atom_site_fract_x
_atom_site_fract_y
_atom_site_fract_z
_atom_site_occupancy
Lu1 0.156 0.344 0.000 1
In1 0.000 0.000 0.000 1
Au1 0.135 0.635 0.500 1
```

***

Record 3
Entry from Alexandria via LeMat-Bulk: a relaxed structure of TcRu2Pb (PBE).

* magnetization: 0.00 μB/f.u.
* mass density: 12443 kg/m3
* total energy: -7.625 eV per atom
* Fermi-level density of states: 5.007 states/eV/f.u.

Cell and atoms, written as CIF:
```
data_TcRu2Pb
_chemical_formula_sum 'Tc3 Ru6 Pb3'
_symmetry_space_group_name_H-M 'R -3 m'
_symmetry_Int_Tables_number 166
_symmetry_space_group_name_Hall '-R 3 2"'
_cell_length_a 2.9252
_cell_length_b 2.9252
_cell_length_c 27.4101
_cell_angle_alpha 90.00
_cell_angle_beta 90.00
_cell_angle_gamma 120.00
loop_
_atom_site_label
_atom_site_fract_x
_atom_site_fract_y
_atom_site_fract_z
_atom_site_occupancy
Tc1 0.0000 0.0000 0.0000 1
Ru1 0.0000 0.0000 0.2588 1
Pb1 0.0000 0.0000 0.5000 1
```

***

Q: Among the records above, which one has the lowest mass density?
A: Si2RuPt